[1]
# YAgC

A relaxed YAgC crystal (PBE, the Alexandria database).

a b c (Å): 3.5517 3.5517 4.2949
angles (deg): 90.00 90.00 90.00
Last column: nearest neighbours and their distance in Å.
Element x y z (fractional)
Y 0.0000 0.0000 0.0000  4 C 2.51
Ag 0.5000 0.5000 0.5000  2 C 2.15
C 0.5000 0.5000 0.0000  2 Ag 2.15

Output
Energy relative to the elements in eV per atom: 0.12
Crystal system: tetragonal
D(E_F) in states/eV/cell: 1.9


[2]
# BaTcIr

A relaxed BaTcIr crystal (PBE, the Alexandria database).

a b c (Å): 5.2648 4.1258 8.7247
angles (deg): 90.00 96.40 90.00
Last column: nearest neighbours and their distance in Å.
Element x y z (fractional)
Ba 0.2159 0.2500 0.3129  3 Ir 3.16-3.39, 1 Tc 3.45
Ba 0.7841 0.7500 0.6871  3 Ir 3.16-3.39, 1 Tc 3.45
Tc 0.3713 0.2500 0.9389  4 Ir 2.57-2.71, 2 Tc 2.63
Tc 0.6287 0.7500 0.0611  4 Ir 2.57-2.71, 2 Tc 2.63
Ir 0.1381 0.7500 0.0367  2 Ir 2.56, 4 Tc 2.57-2.71
Ir 0.8619 0.2500 0.9633  2 Ir 2.56, 4 Tc 2.57-2.71

Output
Energy relative to the elements in eV per atom: 0.18
Relative energy among the computed polymorphs in eV/atom: 0.095
Crystal system: monoclinic
D(E_F) in states/eV/cell: 4.8


[3]
# AlRu2Pb

A relaxed AlRu2Pb crystal (PBE, the Alexandria database).

a b c (Å): 5.1804 5.1804 5.1804
angles (deg): 136.10 136.10 63.83
Last column: nearest neighbours and their distance in Å.
Element x y z (fractional)
Al 0.0000 0.0000 0.0000  8 Ru 2.74-2.93, 4 Pb 2.93
Ru 0.5000 0.5000 0.0000  4 Al 2.74, 4 Pb 2.93, 4 Ru 2.93
Ru 0.7500 0.2500 0.5000  4 Pb 2.74, 4 Ru 2.93, 4 Al 2.93
Pb 0.2500 0.7500 0.5000  8 Ru 2.74-2.93, 4 Al 2.93

Output
Energy relative to the elements in eV per atom: 0.30
Relative energy among the computed polymorphs in eV/atom: 0.298
Crystal system: tetragonal
D(E_F) in states/eV/cell: 4.6


[4]
# Pm6Tm12Sn

A relaxed Pm6Tm12Sn crystal (PBE, the Alexandria database).

a b c (Å): 8.4199 8.4199 8.4199
angles (deg): 88.97 88.97 88.97
Last column: nearest neighbours and their distance in Å.
Element x y z (fractional)
Pm 0.1893 0.5890 0.7555  7 Tm 3.27-3.62, 1 Sn 3.44, 2 Pm 3.45
Pm 0.2445 0.8107 0.4110  7 Tm 3.27-3.62, 1 Sn 3.44, 2 Pm 3.45
Pm 0.4110 0.2445 0.8107  7 Tm 3.27-3.62, 1 Sn 3.44, 2 Pm 3.45
Pm 0.5890 0.7555 0.1893  7 Tm 3.27-3.62, 1 Sn 3.44, 2 Pm 3.45
Pm 0.7555 0.1893 0.5890  7 Tm 3.27-3.62, 1 Sn 3.44, 2 Pm 3.45
Pm 0.8107 0.4110 0.2445  7 Tm 3.27-3.62, 1 Sn 3.44, 2 Pm 3.45
Tm 0.0421 0.2744 0.9350  6 Tm 3.22-3.55, 3 Pm 3.27-3.43
Tm 0.0650 0.9579 0.7256  6 Tm 3.22-3.55, 3 Pm 3.27-3.43
Tm 0.1451 0.3001 0.4900  4 Pm 3.36-3.62, 4 Tm 3.40-3.54, 1 Sn 3.46
Tm 0.2744 0.9350 0.0421  6 Tm 3.22-3.55, 3 Pm 3.27-3.43
Tm 0.3001 0.4900 0.1451  4 Pm 3.36-3.62, 4 Tm 3.40-3.54, 1 Sn 3.46
Tm 0.4900 0.1451 0.3001  4 Pm 3.36-3.62, 4 Tm 3.40-3.54, 1 Sn 3.46
Tm 0.5100 0.8549 0.6999  4 Pm 3.36-3.62, 4 Tm 3.40-3.54, 1 Sn 3.46
Tm 0.6999 0.5100 0.8549  4 Pm 3.36-3.62, 4 Tm 3.40-3.54, 1 Sn 3.46
Tm 0.7256 0.0650 0.9579  6 Tm 3.22-3.55, 3 Pm 3.27-3.43
Tm 0.8549 0.6999 0.5100  4 Pm 3.36-3.62, 4 Tm 3.40-3.54, 1 Sn 3.46
Tm 0.9350 0.0421 0.2744  6 Tm 3.22-3.55, 3 Pm 3.27-3.43
Tm 0.9579 0.7256 0.0650  6 Tm 3.22-3.55, 3 Pm 3.27-3.43
Sn 0.5000 0.5000 0.5000  6 Pm 3.44, 6 Tm 3.46

Output
Energy relative to the elements in eV per atom: 0.04
Crystal system: trigonal
D(E_F) in states/eV/cell: 21.4


[5]
# Mg5CdIn8

A relaxed Mg5CdIn8 crystal (PBE, the Alexandria database).

a b c (Å): 7.7329 7.7329 7.7329
angles (deg): 109.68 109.68 109.05
Last column: nearest neighbours and their distance in Å.
Element x y z (fractional)
Mg 0.0000 0.0000 0.0000  8 In 2.98-3.14
Mg 0.2933 0.6030 0.0795  8 In 3.01-3.33, 2 Mg 3.29
Mg 0.3970 0.4765 0.6902  8 In 3.01-3.33, 2 Mg 3.29
Mg 0.5235 0.2138 0.9205  8 In 3.01-3.33, 2 Mg 3.29
Mg 0.7862 0.7067 0.3098  8 In 3.01-3.33, 2 Mg 3.29
Cd 0.7500 0.2500 0.5000  8 In 2.99-3.35
In 0.0146 0.4170 0.2719  4 In 3.13-3.39, 5 Mg 3.14-3.33, 1 Cd 3.35
In 0.0735 0.1460 0.7074  5 Mg 2.98-3.10, 1 Cd 2.99, 2 In 3.25-3.34
In 0.1451 0.7427 0.7281  4 In 3.13-3.39, 5 Mg 3.14-3.33, 1 Cd 3.35
In 0.2573 0.9854 0.4024  4 In 3.13-3.39, 5 Mg 3.14-3.33, 1 Cd 3.35
In 0.4386 0.3661 0.2926  5 Mg 2.98-3.10, 1 Cd 2.99, 2 In 3.25-3.34
In 0.5830 0.8549 0.5976  4 In 3.13-3.39, 5 Mg 3.14-3.33, 1 Cd 3.35
In 0.6339 0.9265 0.0725  5 Mg 2.98-3.10, 1 Cd 2.99, 2 In 3.25-3.34
In 0.8540 0.5614 0.9275  5 Mg 2.98-3.10, 1 Cd 2.99, 2 In 3.25-3.34

Output
Energy relative to the elements in eV per atom: 0.00
Crystal system: tetragonal
D(E_F) in states/eV/cell: 3.8


[6]
# LiZn3Te

A relaxed LiZn3Te crystal (PBE, the Alexandria database).

a b c (Å): 4.7418 4.7418 4.7418
angles (deg): 90.00 90.00 90.00
Last column: nearest neighbours and their distance in Å.
Element x y z (fractional)
Li 0.0000 0.0000 0.0000  6 Zn 2.37
Zn 0.0000 0.0000 0.5000  2 Li 2.37
Zn 0.0000 0.5000 0.0000  2 Li 2.37
Zn 0.5000 0.0000 0.0000  2 Li 2.37
Te 0.5000 0.5000 0.5000  12 Zn 3.35

Output
Relative energy among the computed polymorphs in eV/atom: 0.000
Crystal system: cubic
D(E_F) in states/eV/cell: 2.5


[7]
# Ba2HoAgSe4

A relaxed Ba2HoAgSe4 crystal (PBE, the Alexandria database).

a b c (Å): 7.5728 4.4007 7.7567
angles (deg): 90.00 110.56 90.00
Last column: nearest neighbours and their distance in Å.
Element x y z (fractional)
Ba 0.0000 0.0000 0.0000  6 Se 3.28-3.40
Ba 0.0000 0.5000 0.5000  6 Se 3.19-3.25
Ho 0.5000 0.0000 0.5000  6 Se 2.92-2.93
Ag 0.5000 0.5000 0.0000  6 Se 2.97-3.13
Se 0.2816 0.5000 0.2750  2 Ho 2.93, 1 Ag 3.13, 3 Ba 3.19-3.28
Se 0.2929 0.0000 0.7538  1 Ho 2.92, 2 Ag 2.97, 2 Ba 3.25
Se 0.7071 0.0000 0.2462  1 Ho 2.92, 2 Ag 2.97, 2 Ba 3.25
Se 0.7184 0.5000 0.7250  2 Ho 2.93, 1 Ag 3.13, 3 Ba 3.19-3.28

Output
Total DFT energy (no corrections) in eV/atom: -4.6791
Crystal system: monoclinic


[8]
# LiGe

A relaxed LiGe crystal (PBE, the Alexandria database).

a b c (Å): 8.0669 8.0669 4.5624
angles (deg): 90.00 90.00 90.00
Last column: nearest neighbours and their distance in Å.
Element x y z (fractional)
Li 0.0651 0.2894 0.0000  5 Ge 2.68-2.94, 4 Li 2.80-2.96
Li 0.1290 0.7637 0.5000  3 Ge 2.60-2.80, 2 Li 2.80
Li 0.2363 0.1290 0.5000  3 Ge 2.60-2.80, 2 Li 2.80
Li 0.2894 0.9349 0.0000  5 Ge 2.68-2.94, 4 Li 2.80-2.96
Li 0.7106 0.0651 0.0000  5 Ge 2.68-2.94, 4 Li 2.80-2.96
Li 0.7637 0.8710 0.5000  3 Ge 2.60-2.80, 2 Li 2.80
Li 0.8710 0.2363 0.5000  3 Ge 2.60-2.80, 2 Li 2.80
Li 0.9349 0.7106 0.0000  5 Ge 2.68-2.94, 4 Li 2.80-2.96
Ge 0.1507 0.4417 0.5000  5 Li 2.60-2.80, 3 Ge 2.61-2.76
Ge 0.2736 0.5886 0.0000  4 Ge 2.76-2.77, 5 Li 2.80-2.94
Ge 0.4114 0.2736 0.0000  4 Ge 2.76-2.77, 5 Li 2.80-2.94
Ge 0.4417 0.8493 0.5000  5 Li 2.60-2.80, 3 Ge 2.61-2.76
Ge 0.5583 0.1507 0.5000  5 Li 2.60-2.80, 3 Ge 2.61-2.76
Ge 0.5886 0.7264 0.0000  4 Ge 2.76-2.77, 5 Li 2.80-2.94
Ge 0.7264 0.4114 0.0000  4 Ge 2.76-2.77, 5 Li 2.80-2.94
Ge 0.8493 0.5583 0.5000  5 Li 2.60-2.80, 3 Ge 2.61-2.76

Output
Energy relative to the elements in eV per atom: -0.09
Crystal system: tetragonal
D(E_F) in states/eV/cell: 6.4


[9]
# GaAsPb3

A relaxed GaAsPb3 crystal (PBE, the Alexandria database).

a b c (Å): 5.6417 5.6417 5.6417
angles (deg): 90.00 90.00 90.00
Last column: nearest neighbours and their distance in Å.
Element x y z (fractional)
Ga 0.0000 0.0000 0.0000  12 Pb 3.99
As 0.5000 0.5000 0.5000  6 Pb 2.82
Pb 0.0000 0.5000 0.5000  2 As 2.82
Pb 0.5000 0.0000 0.5000  2 As 2.82
Pb 0.5000 0.5000 0.0000  2 As 2.82

Output
Energy relative to the elements in eV per atom: 0.48
Relative energy among the computed polymorphs in eV/atom: 0.000
Crystal system: cubic
D(E_F) in states/eV/cell: 4.1


[10]
# TaFeOs2

A relaxed TaFeOs2 crystal (PBE, the Alexandria database).

a b c (Å): 5.1180 5.1180 5.1180
angles (deg): 144.33 130.33 62.64
Last column: nearest neighbours and their distance in Å.
Element x y z (fractional)
Ta 0.0000 0.0000 0.0000  2 Fe 2.63, 6 Os 2.67-2.74
Fe 0.2420 0.7420 0.5000  6 Os 2.61-2.66, 2 Ta 2.63
Os 0.4808 0.4808 0.0000  2 Fe 2.61, 4 Ta 2.67, 2 Os 2.78
Os 0.7431 0.2431 0.5000  4 Fe 2.66, 2 Ta 2.74, 2 Os 2.78

Output
Energy relative to the elements in eV per atom: 0.05
Crystal system: orthorhombic
D(E_F) in states/eV/cell: 3.6


[11]
# La2NpSb3Ir4

A relaxed La2NpSb3Ir4 crystal (PBE, the Alexandria database).

a b c (Å): 4.4183 4.4183 11.5401
angles (deg): 90.00 90.00 90.00
Last column: nearest neighbours and their distance in Å.
Element x y z (fractional)
La 0.0000 0.5000 0.2335  4 Sb 3.34, 8 Ir 3.44-3.48
La 0.5000 0.0000 0.7665  4 Sb 3.34, 8 Ir 3.44-3.48
Np 0.0000 0.0000 0.5000  4 Ir 2.76
Sb 0.0000 0.5000 0.8689  5 Ir 2.61-2.68
Sb 0.5000 0.0000 0.1311  5 Ir 2.61-2.68
Sb 0.5000 0.5000 0.5000  4 Ir 2.76
Ir 0.0000 0.0000 0.0000  4 Sb 2.68
Ir 0.0000 0.5000 0.6428  3 Sb 2.61-2.76, 2 Np 2.76
Ir 0.5000 0.0000 0.3572  3 Sb 2.61-2.76, 2 Np 2.76
Ir 0.5000 0.5000 0.0000  4 Sb 2.68

Output
Total DFT energy (no corrections) in eV/atom: -7.6687
Crystal system: tetragonal
D(E_F) in states/eV/cell: 9.4


[12]
# LaTbRh

A relaxed LaTbRh crystal (PBE, the Alexandria database).

a b c (Å): 4.1131 4.1131 6.3908
angles (deg): 90.00 90.00 120.00
Last column: nearest neighbours and their distance in Å.
Element x y z (fractional)
La 0.0000 0.0000 0.0000  3 Rh 2.84
Tb 0.6667 0.3333 0.4727  3 Rh 2.79
Rh 0.3333 0.6667 0.2429  3 Tb 2.79, 3 La 2.84

Output
Energy relative to the elements in eV per atom: -0.52
Relative energy among the computed polymorphs in eV/atom: 0.064
Crystal system: trigonal
D(E_F) in states/eV/cell: 2.9